A plane-wave DFT calculation with PBE with a Hubbard U was carried out for AgMo2F2 after structural relaxation.

The structure in CIF format:
```
data_AgMo2F2
_chemical_formula_sum 'Ag2 Mo4 F4'
_cell_length_a 7.279
_cell_length_b 7.279
_cell_length_c 3.037
_cell_angle_alpha 90.00
_cell_angle_beta 90.00
_cell_angle_gamma 90.00
_space_group_name_H-M_alt 'P 1'
_space_group_IT_number 1
loop_
_space_group_symop_operation_xyz
'x,y,z'
loop_
_atom_site_label
_atom_site_fract_x
_atom_site_fract_y
_atom_site_fract_z
Ag1 0.000 0.000 0.000
Ag2 0.500 0.500 0.000
Mo1 0.104 0.396 0.000
Mo2 0.396 0.896 0.000
Mo3 0.604 0.104 0.000
Mo4 0.896 0.604 0.000
F1 0.168 0.668 0.500
F2 0.332 0.168 0.500
F3 0.668 0.832 0.500
F4 0.832 0.332 0.500
```

As for the space-group type: P4/mbm (127). The volume is 16.1 Å³/atom. Its energy above the most stable polymorph in this dataset is 80.4 kJ/mol of atoms.